Record 1
VASP calculation (GGA-PBEsol) on a relaxed structure of Be2Cu2Cl.

abc: 6.6740 6.6740 6.6740
angles: 151.73 151.73 40.41
Positions (direct):
Be1 0.1165 0.1165 0.0000
Be2 0.8835 0.8835 0.0000
Cu1 0.2500 0.7500 0.5000
Cu2 0.7500 0.2500 0.5000
Cl1 0.5000 0.5000 0.0000

Calculated values
Formation energy from raw total energies = 0.41 eV per atom
Theoretical density = 4.50 Mg/m³
Total DFT energy (no corrections) = -3.32 eV per atom

Record 2
VASP calculation (GGA-PBEsol) on a relaxed structure of NbPtCl2.

abc: 4.4583 4.4583 4.4583
angles: 60.00 60.00 60.00
Positions (direct):
Nb1 0.0000 0.0000 0.0000
Pt1 0.5000 0.5000 0.5000
Cl1 0.2500 0.2500 0.2500
Cl2 0.7500 0.7500 0.7500

Calculated values
E above lowest polymorph = 22.6 kJ/mol of atoms
Formation energy from raw total energies = 0.27 eV per atom
Theoretical density = 9.51 Mg/m³
Total DFT energy (no corrections) = -5.18 eV per atom

Record 3
VASP calculation (GGA-PBEsol) on a relaxed structure of ScCuRuF2.

abc: 3.6967 3.6967 6.0614
angles: 90.00 90.00 90.00
Positions (direct):
Sc1 0.0000 0.0000 0.0000
Cu1 0.0000 0.0000 0.5000
Ru1 0.5000 0.5000 0.0000
F1 0.0000 0.5000 0.5000
F2 0.5000 0.0000 0.5000

Calculated values
Formation energy from raw total energies = -0.30 eV per atom
Theoretical density = 4.96 Mg/m³
Total DFT energy (no corrections) = -5.30 eV per atom

Record 4
VASP calculation (GGA-PBEsol) on a relaxed structure of FeCuF2.

abc: 3.8931 3.8931 3.8931
angles: 60.00 60.00 60.00
Positions (direct):
Fe1 0.0000 0.0000 0.0000
Cu1 0.5000 0.5000 0.5000
F1 0.2500 0.2500 0.2500
F2 0.7500 0.7500 0.7500

Calculated values
Formation energy from raw total energies = -0.59 eV per atom
Theoretical density = 6.26 Mg/m³
Total DFT energy (no corrections) = -4.88 eV per atom

Question: Look up the formation energy from raw total energies of the third one.
Answer: -0.30 eV per atom